YZr2P after structural relaxation, computed with PBE-GGA.

Output
DOS at the Fermi energy (states/eV/f.u.): 3.65
E_form (meV/atom): -511

The structure in POSCAR format:
```
YZr2P
1.0
3.7257 4.6295 0.9286
-2.4662 5.3783 1.0801
0.5967 -5.7159 1.7741
Zr Y P
2 1 1
Cartesian
1.0239 8.1366 1.6331
0.2355 1.8713 0.3756
2.1612 -0.5432 1.3513
-0.9347 -0.1688 1.4271
```

---

Ce4GaOs after structural relaxation, computed with PBE-GGA.

Output
DOS at the Fermi energy (states/eV/f.u.): 12.44
E_form (meV/atom): -286

The structure in POSCAR format:
```
Ce4GaOs
1.0
5.9081 -0.3035 0.0000
-2.2085 7.8842 0.0000
-1.8498 -3.7903 6.2514
Ce Os Ga
8 2 2
Cartesian
-0.0087 1.0085 2.4123
2.9877 2.0908 1.1746
-1.1379 1.6995 5.0768
-1.8161 -1.5478 5.0768
1.8585 2.7818 3.8391
2.9627 -1.1603 2.4123
-1.1130 4.9506 3.8391
3.6659 5.3381 1.1746
0.3728 3.8662 6.2435
1.4770 -0.0759 0.0079
1.4770 -0.0759 4.8640
0.3728 3.8662 1.3874
```

---

Nd4HoAl after structural relaxation, computed with PBE-GGA.

Output
DOS at the Fermi energy (states/eV/f.u.): 7.23
E_form (meV/atom): -93

The structure in POSCAR format:
```
Nd4HoAl
1.0
-2.4543 0.4152 -2.6198
2.5445 -0.6395 -2.4852
-3.0067 -14.1780 0.5698
Al Nd Ho
1 4 1
Cartesian
-1.4583 -7.2012 -2.2675
-0.4856 -2.6145 -2.4519
-2.4310 -11.7878 -2.0832
-1.0931 -5.1545 0.2072
-1.9136 -9.0235 0.3627
0.0000 0.0000 0.0000
```

---

Nd6SmSc2 after structural relaxation, computed with PBE-GGA.

Output
DOS at the Fermi energy (states/eV/f.u.): 14.09
E_form (meV/atom): 180

The structure in POSCAR format:
```
Nd6SmSc2
1.0
-6.3063 10.3490 -0.9901
-5.6195 -1.0224 -4.6730
-5.0406 0.2922 5.3821
Nd Sc Sm
12 4 2
Cartesian
-9.6384 8.8130 -2.0261
-8.4255 2.8857 -2.0421
-8.5409 6.7330 1.7610
-6.3241 4.0046 1.2690
-10.6423 5.6142 -1.5501
-12.5343 5.3718 1.1167
-9.5050 -0.0840 -0.5395
-5.6302 1.0076 -1.9574
-7.4614 9.7028 0.2584
-7.3280 0.8058 1.7450
-11.3362 8.6112 1.6764
-4.4321 4.2470 -1.3978
-12.8160 8.3898 -1.1909
-7.3974 6.1904 -1.2152
-4.1504 1.2290 0.9099
-9.5690 3.4284 0.9342
-6.6433 2.8201 4.6809
-10.3231 6.7987 -4.9620
```

---

ZrCr4Fe after structural relaxation, computed with PBE-GGA.

Output
DOS at the Fermi energy (states/eV/f.u.): 6.86
E_form (meV/atom): 169

The structure in POSCAR format:
```
ZrCr4Fe
1.0
-3.2630 1.6784 3.2145
-4.2809 1.7465 -1.5559
-4.1044 -2.4991 0.8401
Cr Fe Zr
4 1 1
Cartesian
-6.4184 -0.8980 1.3567
-6.5063 1.2180 0.1626
-4.3728 0.3476 0.9380
-5.9990 1.1841 2.5401
-8.7362 0.6944 1.8740
0.0000 0.0000 0.0000
```

---

RbAlReP2 after structural relaxation, computed with PBE-GGA.

Output
DOS at the Fermi energy (states/eV/f.u.): 2.33
E_form (meV/atom): 1671

The structure in POSCAR format:
```
RbAlReP2
1.0
4.7416 0.0000 0.0000
0.0000 6.1215 0.0000
0.0000 0.0000 4.7416
Al P Re Rb
1 2 1 1
Cartesian
0.0000 0.0000 0.0000
2.3708 0.0000 0.0000
0.0000 0.0000 2.3708
2.3708 3.0607 2.3708
0.0000 3.0607 0.0000
```

---

Li3HgRu after structural relaxation, computed with PBE-GGA.

Output
DOS at the Fermi energy (states/eV/f.u.): 9.18
E_form (meV/atom): 788

The structure in POSCAR format:
```
Li3HgRu
1.0
4.7069 0.0000 0.0000
0.0000 4.7069 0.0000
0.0000 0.0000 4.7069
Ru Li Hg
1 3 1
Cartesian
2.3535 2.3535 2.3535
0.0000 2.3535 0.0000
2.3535 0.0000 0.0000
0.0000 0.0000 2.3535
0.0000 0.0000 0.0000
```

---

KUAs2 after structural relaxation, computed with PBE-GGA.

Output
DOS at the Fermi energy (states/eV/f.u.): 3.84
E_form (meV/atom): -471

The structure in POSCAR format:
```
KUAs2
1.0
-3.0349 0.9413 1.9359
-2.1505 -1.1781 -2.7985
-0.1954 -6.9911 3.0931
U As K
1 2 1
Cartesian
-2.5927 -0.1184 -0.4313
-0.0359 -1.2850 0.5686
-0.1595 -5.7060 2.5246
-2.6904 -3.6139 1.1152
```

---

AcSbAu3 after structural relaxation, computed with PBE-GGA.

Output
Calculated total energy (eV per atom): -4.210
DOS at the Fermi energy (states/eV/f.u.): 1.71

The structure in POSCAR format:
```
AcSbAu3
1.0
-3.0014 4.8475 6.8754
-4.3995 -4.1283 0.9901
3.3439 -6.5034 6.0449
Ac Au Sb
4 12 4
Cartesian
0.9626 -5.4928 5.6221
-5.0196 -0.2914 8.2883
-1.5223 -0.9280 4.4621
-2.5346 -4.8563 9.4483
-3.4702 -2.9499 6.8702
-0.5868 -2.8343 7.0402
-4.7438 -1.0642 5.0532
-0.5217 -7.1336 8.0558
-3.0384 -4.1986 12.7336
0.6869 -4.7200 8.8572
-2.0109 -4.1770 4.6148
-3.5352 1.3494 5.8547
-2.0460 -1.6072 9.2957
-1.0186 -1.5856 1.1768
-4.2766 -2.3702 10.8354
0.2197 -3.4140 3.0751
0.2115 -2.6469 10.7759
-1.4010 0.5088 7.6173
-4.2684 -3.1373 3.1346
-2.6559 -6.2930 6.2932
```

---

K2OsW after structural relaxation, computed with PBE-GGA.

Output
DOS at the Fermi energy (states/eV/f.u.): 2.28
E_form (meV/atom): 1107

The structure in POSCAR format:
```
K2OsW
1.0
12.1015 -0.0536 -0.0313
11.7111 3.0493 -0.0313
11.7111 1.4733 2.6700
K Os W
2 1 1
Cartesian
0.5110 0.0643 0.0375
8.2549 1.0385 0.6059
17.2148 2.1657 1.2636
27.3049 3.4351 2.0042
```

---

Be3CdBr after structural relaxation, computed with PBE-GGA.

Output
Calculated total energy (eV per atom): -1.390
DOS at the Fermi energy (states/eV/f.u.): 5.72

The structure in POSCAR format:
```
Be3CdBr
1.0
4.5096 0.0000 0.0000
0.0000 4.5096 0.0000
0.0000 0.0000 4.5096
Be Cd Br
3 1 1
Cartesian
2.2548 0.0000 0.0000
0.0000 0.0000 2.2548
0.0000 2.2548 0.0000
2.2548 2.2548 2.2548
0.0000 0.0000 0.0000
```

---

Be2Tc2Au after structural relaxation, computed with PBE-GGA.

Output
DOS at the Fermi energy (states/eV/f.u.): 6.57
E_form (meV/atom): -43

The structure in POSCAR format:
```
Be2Tc2Au
1.0
-1.8356 1.6201 -5.5911
-5.4752 -2.4714 1.0814
-1.0671 2.8831 1.1858
Tc Be Au
4 4 2
Cartesian
-2.0800 1.5449 -1.0502
-4.5339 0.0588 0.3547
-3.8440 1.9730 -3.6786
-6.2979 0.4869 -2.2737
-2.2996 -0.7433 -0.2623
-1.7977 0.7076 -3.3383
-5.5131 -1.5588 -1.1714
-5.0112 -0.1080 -4.2473
0.0000 0.0000 0.0000
-3.6554 -0.4256 -2.2548
```

---

no.,theoretical density (g/cm³)
1,5.46
2,9.49
3,6.74
4,6.23
5,7.18
6,4.35
7,5.13
8,6.70
9,12.68
10,7.41
11,3.97
12,11.12